First-principles (PBE-GGA) data for a geometry-optimized Zn3InF structure, as listed in the Alexandria database.

Lattice parameters (Å, degrees): 4.556 4.556 4.556 90.00 90.00 90.00
Fractional coordinates of all 5 atoms:
Zn 0.000 0.000 0.500
Zn 0.000 0.500 0.000
Zn 0.500 0.000 0.000
In 0.500 0.500 0.500
F 0.000 0.000 0.000

The total energy is -1.88 eV per atom. As for the uncorrected formation energy: -1.0 eV/f.u. Its theoretical density is 5.80 g/cm³. The calculation puts the polymorph energy (0 for the lowest one) at 0 meV/atom. The space group is Pm-3m (221).